Entry 1:
# ZrNbCoRe, optimized geometry, DFT GGA-PBE
# E_form: -0.20 eV per atom
# V: 263 Å³/cell
data_ZrNbCoRe
_symmetry_space_group_name_H-M 'F -4 3 m'
_symmetry_Int_Tables_number 216
_symmetry_space_group_name_Hall 'F -4 2 3'
_cell_length_a 6.409
_cell_length_b 6.409
_cell_length_c 6.409
_cell_angle_alpha 90.00
_cell_angle_beta 90.00
_cell_angle_gamma 90.00
loop_
_atom_site_label
_atom_site_type_symbol
_atom_site_fract_x
_atom_site_fract_y
_atom_site_fract_z
_atom_site_occupancy
Zr1 Zr 0.000 0.000 0.000 1
Nb1 Nb 0.000 0.000 0.500 1
Co1 Co 0.250 0.250 0.250 1
Re1 Re 0.250 0.250 0.750 1

Entry 2:
# NbCoRh, optimized geometry, DFT GGA-PBE
# E_form: -0.30 eV per atom
# V: 85 Å³/cell
data_NbCoRh
_symmetry_space_group_name_H-M 'P 1 21/m 1'
_symmetry_Int_Tables_number 11
_cell_length_a 3.771
_cell_length_b 3.850
_cell_length_c 6.148
_cell_angle_alpha 90.00
_cell_angle_beta 107.77
_cell_angle_gamma 90.00
loop_
_symmetry_equiv_pos_as_xyz
'x,y,z'
'-x,-y,-z'
'-x,y+1/2,-z'
'x,-y+1/2,z'
loop_
_atom_site_label
_atom_site_type_symbol
_atom_site_fract_x
_atom_site_fract_y
_atom_site_fract_z
_atom_site_occupancy
Nb1 Nb 0.104 0.250 0.208 1
Co1 Co 0.250 0.750 0.499 1
Rh1 Rh 0.413 0.250 0.825 1

Entry 3:
# Nb2CoRh, optimized geometry, DFT GGA-PBE
# E_form: 0.19 eV per atom
# V: 259 Å³/cell
# Relative energy among the computed polymorphs: 1.71 eV per formula unit
data_Nb2CoRh
_symmetry_space_group_name_H-M 'I -4 2 d'
_symmetry_Int_Tables_number 122
_symmetry_space_group_name_Hall 'I -4 2bw'
_cell_length_a 6.921
_cell_length_b 6.921
_cell_length_c 5.404
_cell_angle_alpha 90.00
_cell_angle_beta 90.00
_cell_angle_gamma 90.00
loop_
_atom_site_label
_atom_site_type_symbol
_atom_site_fract_x
_atom_site_fract_y
_atom_site_fract_z
_atom_site_occupancy
Nb1 Nb 0.233 0.250 0.125 1
Co1 Co 0.000 0.000 0.000 1
Rh1 Rh 0.000 0.000 0.500 1

Entry 4:
# Nb2Co3Rh, optimized geometry, DFT GGA-PBE
# E_form: -0.08 eV per atom
# V: 332 Å³/cell
# Relative energy among the computed polymorphs: 0.00 eV per formula unit
data_Nb2Co3Rh
_symmetry_space_group_name_H-M 'C 1 2/m 1'
_symmetry_Int_Tables_number 12
_cell_length_a 11.841
_cell_length_b 3.832
_cell_length_c 8.363
_cell_angle_alpha 90.00
_cell_angle_beta 118.97
_cell_angle_gamma 90.00
loop_
_symmetry_equiv_pos_as_xyz
'x,y,z'
'-x,-y,-z'
'-x,y,-z'
'x,-y,z'
'x+1/2,y+1/2,z'
'-x+1/2,-y+1/2,-z'
'-x+1/2,y+1/2,-z'
'x+1/2,-y+1/2,z'
loop_
_atom_site_label
_atom_site_type_symbol
_atom_site_fract_x
_atom_site_fract_y
_atom_site_fract_z
_atom_site_occupancy
Nb1 Nb 0.018 0.000 0.336 1
Nb2 Nb 0.208 0.500 0.346 1
Co1 Co 0.040 0.500 0.891 1
Co2 Co 0.118 0.000 0.106 1
Co3 Co 0.220 0.000 0.907 1
Rh1 Rh 0.130 0.500 0.644 1

Entry 5:
# Nb2CoRh2, optimized geometry, DFT GGA-PBE
# E_form: -0.05 eV per atom
# V: 161 Å³/cell
# Relative energy among the computed polymorphs: 0.99 eV per formula unit
data_Nb2CoRh2
_symmetry_space_group_name_H-M 'P 4/m b m'
_symmetry_Int_Tables_number 127
_symmetry_space_group_name_Hall '-P 4 2ab'
_cell_length_a 7.179
_cell_length_b 7.179
_cell_length_c 3.131
_cell_angle_alpha 90.00
_cell_angle_beta 90.00
_cell_angle_gamma 90.00
loop_
_atom_site_label
_atom_site_type_symbol
_atom_site_fract_x
_atom_site_fract_y
_atom_site_fract_z
_atom_site_occupancy
Nb1 Nb 0.172 0.328 0.000 1
Co1 Co 0.000 0.000 0.500 1
Rh1 Rh 0.133 0.633 0.500 1

Entry 6:
# NbCoRh, optimized geometry, DFT GGA-PBE
# E_form: -0.23 eV per atom
# V: 87 Å³/cell
data_NbCoRh
_symmetry_space_group_name_H-M 'P 3 m 1'
_symmetry_Int_Tables_number 156
_cell_length_a 4.3522
_cell_length_b 4.3522
_cell_length_c 5.2868
_cell_angle_alpha 90.00
_cell_angle_beta 90.00
_cell_angle_gamma 120.00
loop_
_symmetry_equiv_pos_as_xyz
'x,y,z'
'-y,x-y,z'
'-x+y,-x,z'
'-y,-x,z'
'-x+y,y,z'
'x,x-y,z'
loop_
_atom_site_label
_atom_site_type_symbol
_atom_site_fract_x
_atom_site_fract_y
_atom_site_fract_z
_atom_site_occupancy
Nb1 Nb 0.0000 0.0000 0.0000 1
Nb2 Nb 0.3333 0.6667 0.5644 1
Co1 Co 0.0000 0.0000 0.5266 1
Co2 Co 0.6667 0.3333 0.7903 1
Rh1 Rh 0.3333 0.6667 0.0548 1
Rh2 Rh 0.6667 0.3333 0.3010 1

Entry 7:
# NbCoRh, optimized geometry, DFT GGA-PBE
# E_form: -0.25 eV per atom
# V: 171 Å³/cell
data_NbCoRh
_symmetry_space_group_name_H-M 'C 1 m 1'
_symmetry_Int_Tables_number 8
_cell_length_a 8.501
_cell_length_b 3.875
_cell_length_c 5.365
_cell_angle_alpha 90.00
_cell_angle_beta 103.95
_cell_angle_gamma 90.00
loop_
_symmetry_equiv_pos_as_xyz
'x,y,z'
'x,-y,z'
'x+1/2,y+1/2,z'
'x+1/2,-y+1/2,z'
loop_
_atom_site_label
_atom_site_type_symbol
_atom_site_fract_x
_atom_site_fract_y
_atom_site_fract_z
_atom_site_occupancy
Nb1 Nb 0.000 0.000 0.000 1
Nb2 Nb 0.205 0.500 0.377 1
Co1 Co 0.024 0.000 0.486 1
Co2 Co 0.357 0.000 0.186 1
Rh1 Rh 0.181 0.500 0.873 1
Rh2 Rh 0.354 0.000 0.673 1

Entry 8:
# NbCo3Rh, optimized geometry, DFT GGA-PBE
# E_form: 1.49 eV per atom
# V: 83 Å³/cell
# Relative energy among the computed polymorphs: 0.57 eV per formula unit
data_NbCo3Rh
_symmetry_space_group_name_H-M 'P m -3 m'
_symmetry_Int_Tables_number 221
_symmetry_space_group_name_Hall '-P 4 2 3'
_cell_length_a 4.370
_cell_length_b 4.370
_cell_length_c 4.370
_cell_angle_alpha 90.00
_cell_angle_beta 90.00
_cell_angle_gamma 90.00
loop_
_atom_site_label
_atom_site_type_symbol
_atom_site_fract_x
_atom_site_fract_y
_atom_site_fract_z
_atom_site_occupancy
Nb1 Nb 0.000 0.000 0.000 1
Co1 Co 0.000 0.000 0.500 1
Rh1 Rh 0.500 0.500 0.500 1